This record from Alexandria via LeMat-Bulk describes PuZnPt after structural relaxation. The functional is PBE.

Unit cell a=3.5996 b=7.9206 c=8.2878 alpha=89.79 beta=102.54 gamma=90.00
Fractional positions:
Pt1 0.6220 0.5397 0.2441
Pt2 0.6483 0.1523 0.2965
Pt3 0.3780 0.4603 0.7559
Pt4 0.3517 0.8477 0.7035
Pu1 0.5481 0.8612 0.0963
Pu2 0.4519 0.1388 0.9037
Pu3 0.9701 0.6812 0.9402
Pu4 0.0299 0.3188 0.0598
Zn1 0.2622 0.1284 0.5244
Zn2 0.7694 0.3771 0.5389
Zn3 0.2306 0.6229 0.4611
Zn4 0.7378 0.8716 0.4756

Computed properties:
As for the symmetry: No. 12. The calculation puts the energy of formation from the pure elements at -28.2 kJ/mol of atoms.

***

This record from Alexandria via LeMat-Bulk describes SrZn2Co after structural relaxation. The functional is PBE.

Unit cell a=4.1007 b=3.7963 c=6.0665 alpha=71.55 beta=90.00 gamma=90.00
Fractional positions:
Sr1 0.5000 0.7171 0.6870
Co1 0.0000 0.3494 0.4247
Zn1 0.5000 0.4492 0.2303
Zn2 0.0000 0.9843 0.1580

Computed properties:
As for the symmetry: No. 6. The calculation puts the energy of formation from the pure elements at 15.8 kJ/mol of atoms.

***

Which of these has the highest energy of formation from the pure elements? SrZn2Co